(1)
ZnCd4In | the Alexandria database | PBE | relaxed; crystal system = monoclinic; energy above the lowest structure with this stoichiometry = 0.0 kJ/mol of atoms; E = -1.2160 eV per atom; space group = C2/m, No. 12
1.0
0.4834 -3.0789 6.5321
-6.0651 -3.7074 -1.3605
0.1043 -7.3442 0.4983
Zn Cd In
2 8 2
direct
0.7506 0.7494 0.5000
0.2494 0.2506 0.5000
0.0052 0.2101 0.2833
0.2089 0.7089 0.2814
0.5073 0.0073 0.2805
0.4927 0.9927 0.7195
0.7911 0.2911 0.7186
0.9948 0.7899 0.7167
0.2899 0.4948 0.7167
0.7101 0.5052 0.2833
0.5000 0.5000 0.0000
0.0000 0.0000 0.0000



(2)
Zn2Cd2In | the Alexandria database | PBE | relaxed; crystal system = tetragonal; energy above the lowest structure with this stoichiometry = 3.1 kJ/mol of atoms; E = -1.3099 eV per atom; space group = I4/mmm, No. 139
1.0
-3.5119 -1.4883 -1.6560
0.0633 -3.1582 2.7042
-5.1619 1.1653 4.6789
Zn Cd In
2 2 1
direct
0.4036 0.4036 0.1929
0.5964 0.5964 0.8071
0.7500 0.2500 0.5000
0.2500 0.7500 0.5000
0.0000 0.0000 0.0000



(3)
ZnCd2In | the Alexandria database | PBE | relaxed; crystal system = monoclinic; energy above the lowest structure with this stoichiometry = 1.0 kJ/mol of atoms; E = -1.3956 eV per atom; space group = Cm, No. 8
1.0
5.0632 0.0997 0.1386
4.0325 3.0634 0.1386
1.3265 0.4613 5.9378
Zn Cd In
1 2 1
direct
0.2491 0.2491 0.2219
0.9918 0.9918 0.0238
0.7479 0.7479 0.7620
0.5112 0.5112 0.4924



(4)
ZnCd9In2 | the Alexandria database | PBE | relaxed; crystal system = tetragonal; E = -1.2048 eV per atom; space group = P4/mmm, No. 123
1.0
-2.1486 -3.5088 -1.8216
2.4027 0.4875 -3.7731
9.3713 -8.2811 4.8975
Zn Cd In
1 9 2
direct
0.0000 0.0000 0.0000
0.5000 0.5000 0.0000
0.5000 0.5000 0.3283
0.5000 0.5000 0.6717
0.5000 0.0000 0.1546
0.5000 0.0000 0.5000
0.5000 0.0000 0.8454
0.0000 0.5000 0.1546
0.0000 0.5000 0.5000
0.0000 0.5000 0.8454
0.0000 0.0000 0.3259
0.0000 0.0000 0.6741



(5)
Zn2CdIn | the Alexandria database | PBE | relaxed; crystal system = monoclinic; energy above the lowest structure with this stoichiometry = 0.0 kJ/mol of atoms; E = -1.4758 eV per atom; space group = Pm, No. 6
1.0
4.3130 0.0000 0.0000
0.0000 3.5765 0.0128
0.0000 1.8396 5.2910
Zn Cd In
2 1 1
direct
0.0000 0.1943 0.9854
0.5000 0.0509 0.2698
0.0000 0.4630 0.4403
0.5000 0.7917 0.8045



(6)
ZnCd2In2 | the Alexandria database | PBE | relaxed; crystal system = tetragonal; energy above the lowest structure with this stoichiometry = 15.6 kJ/mol of atoms; E = -1.4968 eV per atom; space group = I4/mmm, No. 139
1.0
4.3058 0.0000 0.0000
0.0000 4.3058 0.0000
2.1529 2.1529 7.0589
Zn Cd In
1 2 2
direct
0.0000 0.0000 0.0000
0.4040 0.4040 0.1921
0.5960 0.5960 0.8079
0.7500 0.2500 0.5000
0.2500 0.7500 0.5000



(7)
Zn4CdIn | the Alexandria database | PBE | relaxed; crystal system = cubic; E = -1.3950 eV per atom; space group = F-43m, No. 216
1.0
5.3820 0.0000 0.0000
2.6910 4.6609 0.0000
2.6910 1.5536 4.3943
Cd In Zn
1 1 4
direct
0.2500 0.2500 0.2500
0.0000 0.0000 0.0000
0.1261 0.6246 0.6246
0.6246 0.6246 0.6246
0.6246 0.1261 0.6246
0.6246 0.6246 0.1261



(8)
ZnCd2In | the Alexandria database | PBE | relaxed; crystal system = orthorhombic; energy above the lowest structure with this stoichiometry = 3.2 kJ/mol of atoms; E = -1.3733 eV per atom; space group = Cmmm, No. 65
1.0
-3.0272 1.0711 -0.2850
0.9390 -3.0293 -0.5780
-1.8547 -2.5238 10.2135
Cd In Zn
2 1 1
direct
0.0000 0.0000 0.9788
0.0000 0.0000 0.5212
0.5000 0.5000 0.2500
0.5000 0.5000 0.7500



(9)
Zn2CdIn | the Alexandria database | PBE | relaxed; crystal system = monoclinic; energy above the lowest structure with this stoichiometry = 0.5 kJ/mol of atoms; E = -1.4708 eV per atom; space group = Cm, No. 8
1.0
4.8846 0.0811 0.0813
3.8808 2.9673 0.0813
1.3094 0.4554 5.7599
Zn Cd In
2 1 1
direct
0.9890 0.9890 0.0381
0.2578 0.2578 0.2241
0.5109 0.5109 0.4694
0.7423 0.7423 0.7684



(10)
ZnCdIn | the Alexandria database | PBE | relaxed; crystal system = trigonal; E = -1.5432 eV per atom; space group = P3m1, No. 156
1.0
4.9130 0.0000 0.0000
-2.4565 4.2548 0.0000
0.0000 0.0000 3.2701
Cd In Zn
1 1 1
direct
0.0000 0.0000 0.8505
0.3333 0.6667 0.3703
0.6667 0.3333 0.7792



(11)
ZnCd2In2 | the Alexandria database | PBE | relaxed; crystal system = monoclinic; energy above the lowest structure with this stoichiometry = 0.0 kJ/mol of atoms; E = -1.6589 eV per atom; space group = C2/m, No. 12
1.0
6.9132 -0.0030 -1.7360
-2.6328 5.2232 -3.2287
-0.1470 0.0376 6.6795
Zn Cd In
2 4 4
direct
0.0000 0.1136 0.8864
0.0000 0.8864 0.1136
0.4229 0.2462 0.2462
0.1585 0.7407 0.7407
0.8415 0.2593 0.2593
0.5771 0.7538 0.7538
0.7441 0.3246 0.7373
0.2559 0.6754 0.2627
0.7441 0.7373 0.3246
0.2559 0.2627 0.6754



(12)
Zn5Cd3In12 | the Alexandria database | PBE | relaxed; crystal system = cubic; E = -1.9138 eV per atom; space group = Ia-3d, No. 230
1.0
-8.2800 7.3914 -9.0062
-6.0618 -12.6480 2.7542
1.5026 7.3178 12.1859
Cd Zn In
12 20 48
direct
0.7500 0.3750 0.1250
0.8750 0.7500 0.1250
0.3750 0.7500 0.6250
0.2500 0.1250 0.3750
0.8750 0.1250 0.2500
0.3750 0.6250 0.2500
0.6250 0.3750 0.7500
0.1250 0.8750 0.7500
0.7500 0.8750 0.6250
0.6250 0.2500 0.3750
0.1250 0.2500 0.8750
0.2500 0.6250 0.8750
0.1250 0.3750 0.2500
0.0000 0.5000 0.0000
0.0000 0.0000 0.0000
0.3750 0.2500 0.1250
0.5000 0.0000 0.5000
0.5000 0.5000 0.0000
0.1250 0.7500 0.3750
0.7500 0.1250 0.8750
0.7500 0.6250 0.3750
0.3750 0.1250 0.7500
0.6250 0.8750 0.2500
0.5000 0.5000 0.5000
0.5000 0.0000 0.0000
0.0000 0.0000 0.5000
0.2500 0.3750 0.6250
0.2500 0.8750 0.1250
0.0000 0.5000 0.5000
0.8750 0.2500 0.6250
0.6250 0.7500 0.8750
0.8750 0.6250 0.7500
0.7223 0.1254 0.0526
0.3303 0.5526 0.4272
0.9474 0.3746 0.2777
0.5526 0.2223 0.1254
0.5970 0.7223 0.6697
0.9474 0.5728 0.1697
0.3303 0.7777 0.4030
0.0728 0.9030 0.1254
0.5728 0.9474 0.6697
0.7223 0.5970 0.1697
0.7777 0.4474 0.3746
0.8303 0.9272 0.0526
0.1254 0.7223 0.5526
0.3746 0.4272 0.0970
0.0970 0.9272 0.3746
0.4030 0.1254 0.5728
0.0970 0.1697 0.2223
0.4474 0.6697 0.0728
0.8303 0.9030 0.2777
0.1254 0.4030 0.0728
0.3746 0.9474 0.7777
0.5728 0.6254 0.4030
0.9272 0.8303 0.5526
0.7777 0.3303 0.9030
0.4272 0.3746 0.5970
0.0728 0.1697 0.4474
0.2223 0.6697 0.0970
0.1697 0.0970 0.7223
0.6254 0.0526 0.2223
0.8746 0.5970 0.9272
0.5526 0.3303 0.9272
0.5970 0.8746 0.4272
0.9030 0.8303 0.7777
0.9030 0.0728 0.6254
0.8746 0.2777 0.4474
0.1697 0.0728 0.9474
0.6254 0.5728 0.9030
0.4272 0.0526 0.3303
0.2777 0.4030 0.8303
0.2223 0.5526 0.6254
0.9272 0.0970 0.8746
0.6697 0.2223 0.5970
0.4474 0.7777 0.8746
0.0526 0.4272 0.8303
0.4030 0.2777 0.3303
0.0526 0.6254 0.7223
0.6697 0.4474 0.5728
0.2777 0.8746 0.9474



We obtain energy relative to the elements values of 0.4; 0.6; 0.3; 0.5; 0.3; 1.1; 0.4; 0.3; 0.3; 0.3; 0.3; 3.7 eV per formula unit for the records listed above, in that order.